Record 1
Density functional theory data (GGA-PBE) for crystalline V2AgN at its relaxed geometry.

abc: 6.0689 6.0689 5.9561
angles: 90.00 90.00 90.00
Space group I-42d (No. 122)
One atom of each set of equivalent atoms:
1 V 0.1446 0.2500 0.1250 [8 per cell]
2 Ag 0.0000 0.0000 0.5000 [4 per cell]
3 N 0.0000 0.0000 0.0000 [4 per cell]

Computed properties:
The total magnetization comes out at 0.23 μB per atom. The calculation puts the total DFT energy (no corrections) at -7.37 eV/atom.

***

Record 2
Density functional theory data (GGA-PBE) for crystalline VAgN at its relaxed geometry.

abc: 2.8209 2.8209 10.0967
angles: 90.00 90.00 90.00
Space group P4/nmm (No. 129, origin choice 2)
One atom of each set of equivalent atoms:
1 V 0.2500 0.2500 0.0930 [2 per cell]
2 Ag 0.2500 0.2500 0.3896 [2 per cell]
3 N 0.2500 0.2500 0.8906 [2 per cell]

Computed properties:
The total magnetization comes out at 0.00 μB per atom. The calculation puts the total DFT energy (no corrections) at -7.26 eV/atom.

***

Record 3
Density functional theory data (GGA-PBE) for crystalline V2AgN at its relaxed geometry.

abc: 2.8943 2.8943 22.9536
angles: 90.00 90.00 120.00
Space group R-3m (No. 166, hexagonal axes)
One atom of each set of equivalent atoms:
1 V 0.0000 0.0000 0.1210 [6 per cell]
2 Ag 0.0000 0.0000 0.0000 [3 per cell]
3 N 0.0000 0.0000 0.5000 [3 per cell]

Computed properties:
The total magnetization comes out at 0.00 μB per atom. The calculation puts the total DFT energy (no corrections) at -7.62 eV/atom.

***

Record 4
Density functional theory data (GGA-PBE) for crystalline VAgN at its relaxed geometry.

abc: 3.8793 3.8793 5.1676
angles: 90.00 90.00 90.00
Space group P4/nmm (No. 129, origin choice 2)
One atom of each set of equivalent atoms:
1 V 0.2500 0.7500 0.0000 [2 per cell]
2 Ag 0.2500 0.2500 0.4749 [2 per cell]
3 N 0.2500 0.2500 0.9334 [2 per cell]

Computed properties:
The total magnetization comes out at 0.00 μB per atom. The calculation puts the total DFT energy (no corrections) at -7.04 eV/atom.